The following is a PBE calculation of a relaxed LuPuMgMn crystal, from the Alexandria database.

a = 7.163 Å, b = 7.163 Å, c = 7.163 Å
α = 90.00°, β = 90.00°, γ = 90.00°
Space group F-43m (No. 216)
Unique sites:
Lu 0.000 0.000 0.000 [4 per cell]
Pu 0.000 0.000 0.500 [4 per cell]
Mg 0.250 0.250 0.250 [4 per cell]
Mn 0.250 0.250 0.750 [4 per cell]

Formation energy ... 156 meV per atom
Magnetization ... 0.640 μB/atom